First-principles (PBE) data for a relaxed SmF3 crystal, as listed in Alexandria.

Cell: 7.0241 7.0241 6.9769 Å, 90.00 90.00 120.00°
Element x y z (fractional)
Sm (0.6689, 0.6689, 0.2500)
Sm (0.0000, 0.6689, 0.7500)
Sm (0.6689, 0.0000, 0.7500)
Sm (0.3311, 0.0000, 0.2500)
Sm (0.0000, 0.3311, 0.2500)
Sm (0.3311, 0.3311, 0.7500)
F (0.0000, 0.0000, 0.5000)
F (0.0000, 0.0000, 0.0000)
F (0.3333, 0.6667, 0.2500)
F (0.6667, 0.3333, 0.7500)
F (0.6667, 0.3333, 0.2500)
F (0.3333, 0.6667, 0.7500)
F (0.3440, 0.0000, 0.9171)
F (0.3440, 0.3440, 0.4171)
F (0.0000, 0.6560, 0.4171)
F (0.0000, 0.3440, 0.9171)
F (0.6560, 0.6560, 0.9171)
F (0.3440, 0.0000, 0.5829)
F (0.6560, 0.6560, 0.5829)
F (0.6560, 0.0000, 0.4171)
F (0.0000, 0.3440, 0.5829)
F (0.0000, 0.6560, 0.0829)
F (0.6560, 0.0000, 0.0829)
F (0.3440, 0.3440, 0.0829)

Computed properties:
Total moment in μB per formula unit: 0.02
Formation energy (no corrections) in eV/atom: -3.920